Ni2PtS | the Alexandria database | PBE | optimized geometry; total DFT energy (no corrections) = -21.975 eV per cell; space group = R-3m; formation energy (no corrections) = -0.061 eV/atom
1.0
-2.247 1.807 0.174
-1.849 0.223 -2.208
-5.356 -4.557 2.136
Ni S Pt
2 1 1
Cartesian
-6.938 -1.698 -0.029
-2.513 -0.829 0.132
-4.726 -1.264 0.051
0.000 0.000 0.000